Entry 1:
Y2Hg5 | PBE | optimized geometry

Output
For the energy of formation from the pure elements, the calculation gives -312.3 meV/atom.

Cell: 8.9444 5.3466 8.3143 Å, 90.00 118.06 90.00°
Last column: nearest neighbours and their distance in Å.
Space group C2/m (No. 12)
Inequivalent atoms, fractional coordinates:
1 Y 0.2413 0.0000 0.1738 (multiplicity 4)  9 Hg 3.09-3.31
2 Hg 0.0000 0.5000 0.0000 (multiplicity 2)  2 Hg 3.01, 6 Y 3.25-3.31
3 Hg 0.0616 0.0000 0.7376 (multiplicity 4)  4 Y 3.09-3.20, 4 Hg 3.18-3.37
4 Hg 0.1539 0.5000 0.4094 (multiplicity 4)  6 Hg 3.01-3.30, 2 Y 3.14-3.26

=====

Entry 2:
Fe2RuRh | PBE | optimized geometry

Output
For the energy of formation from the pure elements, the calculation gives 108.0 meV/atom.

Cell: 2.6976 2.6976 25.1033 Å, 90.00 90.00 120.00°
Last column: nearest neighbours and their distance in Å.
Space group R3m (No. 160, hexagonal axes)
Inequivalent atoms, fractional coordinates:
1 Fe 0.0000 0.0000 0.0000 (multiplicity 3)  9 Fe 2.52-2.70, 3 Ru 2.57
2 Fe 0.0000 0.0000 0.2543 (multiplicity 3)  9 Fe 2.52-2.70, 3 Rh 2.60
3 Ru 0.0000 0.0000 0.7480 (multiplicity 3)  3 Fe 2.57, 6 Ru 2.70, 3 Rh 2.75
4 Rh 0.0000 0.0000 0.5049 (multiplicity 3)  3 Fe 2.60, 6 Rh 2.70, 3 Ru 2.75

=====

Entry 3:
Na3Ac3ZnO8 | PBE | optimized geometry

Output
As for the formation energy from raw total energies: -2.049 eV per atom.

Cell: 11.8227 7.3839 7.0182 Å, 90.00 122.11 90.00°
Last column: nearest neighbours and their distance in Å.
Space group C2/m (No. 12)
Inequivalent atoms, fractional coordinates:
1 Na 0.0000 0.0000 0.0000 (multiplicity 2)  6 O 2.57-2.60
2 Na 0.2500 0.2500 0.5000 (multiplicity 4)  6 O 2.55-2.64
3 Ac 0.0000 0.5000 0.5000 (multiplicity 2)  6 O 2.45-2.53
4 Ac 0.2500 0.2500 0.0000 (multiplicity 4)  6 O 2.46-2.55
5 Zn 0.0000 0.0000 0.5000 (multiplicity 2)  6 O 2.12-2.26
6 O 0.0036 0.2260 0.7194 (multiplicity 8)  1 Zn 2.26, 1 Ac 2.51
7 O 0.2106 0.0000 0.7201 (multiplicity 4)  1 Zn 2.12
8 O 0.2431 0.5000 0.7619 (multiplicity 4)  3 Ac 2.45-2.46, 3 Na 2.57-2.64

=====

Entry 4:
TlP5 | PBE | optimized geometry

Output
For the energy of formation from the pure elements, the calculation gives 390.9 meV/atom. As for the distance to the lowest polymorph of the same formula: 414.9 meV per atom.

Cell: 6.3708 6.3708 3.1958 Å, 90.00 90.00 120.00°
Last column: nearest neighbours and their distance in Å.
Space group P6/mmm (No. 191)
Inequivalent atoms, fractional coordinates:
1 Tl 0.0000 0.0000 0.0000 (multiplicity 1)  2 Tl 3.20, 12 P 3.56
2 P 0.0000 0.5000 0.5000 (multiplicity 3)  4 P 2.44
3 P 0.3333 0.6667 0.0000 (multiplicity 2)  6 P 2.44

=====

Entry 5:
ThZn4Os | PBE | optimized geometry

Output
For the energy of formation from the pure elements, the calculation gives -120.5 meV/atom.

Cell: 7.3978 7.3978 7.3978 Å, 90.00 90.00 90.00°
Last column: nearest neighbours and their distance in Å.
Space group F-43m (No. 216)
Inequivalent atoms, fractional coordinates:
1 Th 0.0000 0.0000 0.0000 (multiplicity 4)  12 Zn 3.07, 4 Os 3.20
2 Zn 0.1234 0.1234 0.6234 (multiplicity 16)  6 Zn 2.58-2.65
3 Os 0.2500 0.2500 0.2500 (multiplicity 4)  12 Zn 3.06, 4 Th 3.20

=====

Entry 6:
CuAsP2 | PBE | optimized geometry

Output
For the energy of formation from the pure elements, the calculation gives 559.1 meV/atom.

Cell: 4.8796 4.8796 5.2115 Å, 90.00 90.00 90.00°
Last column: nearest neighbours and their distance in Å.
Space group I4/mmm (No. 139)
Inequivalent atoms, fractional coordinates:
1 Cu 0.0000 0.0000 0.0000 (multiplicity 2)  2 As 2.61, 8 P 2.77
2 As 0.0000 0.0000 0.5000 (multiplicity 2)  2 Cu 2.61, 8 P 2.77
3 P 0.0000 0.5000 0.2500 (multiplicity 4)  2 P 2.61, 4 Cu 2.77, 4 As 2.77

=====

Entry 7:
BaTaRe2 | PBE | optimized geometry

Output
For the energy of formation from the pure elements, the calculation gives 736.8 meV/atom. As for the distance to the lowest polymorph of the same formula: 86.2 meV per atom.

Cell: 2.9765 4.3246 7.2513 Å, 90.00 98.34 90.00°
Last column: nearest neighbours and their distance in Å.
Space group P2/m (No. 10)
Inequivalent atoms, fractional coordinates:
1 Ba 0.0000 0.0000 0.0000 (multiplicity 1)  2 Ba 2.98
2 Ta 0.5000 0.0000 0.5000 (multiplicity 1)  4 Re 2.65
3 Re 0.2030 0.5000 0.6572 (multiplicity 2)  1 Re 2.42, 2 Ta 2.65

=====

Entry 8:
PmPt4 | PBE | optimized geometry

Output
For the energy of formation from the pure elements, the calculation gives 1395.9 meV/atom. As for the distance to the lowest polymorph of the same formula: 2106.5 meV per atom.

Cell: 5.0963 5.0963 5.0963 Å, 90.00 90.00 90.00°
Last column: nearest neighbours and their distance in Å.
Space group Pm-3m (No. 221)
Inequivalent atoms, fractional coordinates:
1 Pm 0.0000 0.0000 0.0000 (multiplicity 1)  6 Pt 2.55
2 Pt 0.0000 0.0000 0.5000 (multiplicity 3)  2 Pm 2.55
3 Pt 0.5000 0.5000 0.5000 (multiplicity 1)  12 Pt 3.60

=====

Entry 9:
Ba2LiFe | PBE | optimized geometry

Output
For the energy of formation from the pure elements, the calculation gives 499.0 meV/atom. As for the distance to the lowest polymorph of the same formula: 52.7 meV per atom.

Cell: 3.8330 3.8330 9.2703 Å, 90.00 90.00 90.00°
Last column: nearest neighbours and their distance in Å.
Space group P4mm (No. 99)
Inequivalent atoms, fractional coordinates:
1 Ba 0.0000 0.0000 0.0000 (multiplicity 1)  1 Fe 3.31, 4 Li 3.62
2 Ba 0.5000 0.5000 0.4050 (multiplicity 1)  1 Li 3.12, 4 Fe 3.50
3 Li 0.5000 0.5000 0.7419 (multiplicity 1)  4 Fe 2.86, 1 Ba 3.12
4 Fe 0.0000 0.0000 0.6430 (multiplicity 1)  4 Li 2.86

=====

Entry 10:
MgTcPb3 | PBE | optimized geometry

Output
For the energy of formation from the pure elements, the calculation gives 416.1 meV/atom. As for the distance to the lowest polymorph of the same formula: 0.0 meV per atom.

Cell: 5.3613 5.3613 5.3613 Å, 90.00 90.00 90.00°
Last column: nearest neighbours and their distance in Å.
Space group Pm-3m (No. 221)
Inequivalent atoms, fractional coordinates:
1 Mg 0.0000 0.0000 0.0000 (multiplicity 1)  12 Pb 3.79
2 Tc 0.5000 0.5000 0.5000 (multiplicity 1)  6 Pb 2.68
3 Pb 0.0000 0.5000 0.5000 (multiplicity 3)  2 Tc 2.68

=====

Entry 11:
MgNpGaAu | PBE | optimized geometry

Output
For the energy of formation from the pure elements, the calculation gives -197.9 meV/atom.

Cell: 6.9490 6.9490 6.9490 Å, 90.00 90.00 90.00°
Last column: nearest neighbours and their distance in Å.
Space group F-43m (No. 216)
Inequivalent atoms, fractional coordinates:
1 Mg 0.0000 0.0000 0.0000 (multiplicity 4)  4 Au 3.01, 4 Ga 3.01
2 Np 0.0000 0.0000 0.5000 (multiplicity 4)  4 Ga 3.01, 4 Au 3.01
3 Ga 0.2500 0.2500 0.7500 (multiplicity 4)  4 Mg 3.01, 4 Np 3.01
4 Au 0.2500 0.2500 0.2500 (multiplicity 4)  4 Np 3.01, 4 Mg 3.01

=====

Entry 12:
Dy3Tm4Rh4 | PBE | optimized geometry

Output
For the energy of formation from the pure elements, the calculation gives -683.9 meV/atom.

Cell: 3.7296 8.7676 15.6965 Å, 90.00 90.00 90.00°
Last column: nearest neighbours and their distance in Å.
Space group Immm (No. 71)
Inequivalent atoms, fractional coordinates:
1 Dy 0.0000 0.0000 0.0000 (multiplicity 2)  4 Rh 3.14
2 Dy 0.0000 0.5000 0.1035 (multiplicity 4)  6 Rh 2.99-3.09, 1 Dy 3.25
3 Tm 0.0000 0.3121 0.3343 (multiplicity 8)  4 Rh 2.75-3.05
4 Rh 0.0000 0.0000 0.2480 (multiplicity 4)  6 Tm 2.80-3.05, 2 Dy 2.99
5 Rh 0.0000 0.2114 0.5000 (multiplicity 4)  2 Tm 2.75